Entry 1:
DFT (PBE-GGA) results for a geometry-optimized Mg2Ag7Hg2 structure.

Properties
- spin magnetization (μB per formula unit) = 0.0
- energy (eV/atom) = -2.1906
- energy above the lowest structure with this stoichiometry (eV per formula unit) = 0.00
- energy of formation (eV per atom) = -0.031

Cell and atoms, written as CIF:
```
data_Mg2Ag7Hg2
_symmetry_space_group_name_H-M 'C 1 2/m 1'
_symmetry_Int_Tables_number 12
_cell_length_a 10.0061
_cell_length_b 9.7245
_cell_length_c 5.0344
_cell_angle_alpha 90.00
_cell_angle_beta 116.35
_cell_angle_gamma 90.00
loop_
_symmetry_equiv_pos_as_xyz
'x,y,z'
'-x,-y,-z'
'-x,y,-z'
'x,-y,z'
'x+1/2,y+1/2,z'
'-x+1/2,-y+1/2,-z'
'-x+1/2,y+1/2,-z'
'x+1/2,-y+1/2,z'
loop_
_atom_site_label
_atom_site_type_symbol
_atom_site_fract_x
_atom_site_fract_y
_atom_site_fract_z
_atom_site_occupancy
Mg1 Mg 0.0000 0.1987 0.0000 1
Ag1 Ag 0.0000 0.0000 0.5000 1
Ag2 Ag 0.1695 0.2403 0.6710 1
Ag3 Ag 0.2322 0.0000 0.0627 1
Hg1 Hg 0.1029 0.5000 0.3132 1
```

***

Entry 2:
DFT (PBE-GGA) results for a geometry-optimized Tb12InCo6 structure.

Properties
- spin magnetization (μB per formula unit) = 0.0
- energy (eV/atom) = -5.5485
- energy of formation (eV per atom) = -0.236

Cell and atoms, written as CIF:
```
data_Tb12InCo6
_symmetry_space_group_name_H-M 'I m -3'
_symmetry_Int_Tables_number 204
_symmetry_space_group_name_Hall '-I 2 2 3'
_cell_length_a 9.7025
_cell_length_b 9.7025
_cell_length_c 9.7025
_cell_angle_alpha 90.00
_cell_angle_beta 90.00
_cell_angle_gamma 90.00
loop_
_atom_site_label
_atom_site_type_symbol
_atom_site_fract_x
_atom_site_fract_y
_atom_site_fract_z
_atom_site_occupancy
Tb1 Tb 0.0000 0.1936 0.3033 1
In1 In 0.0000 0.0000 0.0000 1
Co1 Co 0.0000 0.3872 0.5000 1
```